# 1
Pm2TcGe6 | PBE-GGA | relaxed

abc: 5.560 6.062 6.062
angles: 60.10 89.88 89.88
Positions (direct):
Pm 0.805 0.667 0.667
Pm 0.195 0.333 0.333
Tc 0.000 0.000 0.000
Ge 0.309 0.361 0.818
Ge 0.309 0.819 0.819
Ge 0.309 0.818 0.361
Ge 0.691 0.639 0.182
Ge 0.691 0.181 0.181
Ge 0.691 0.182 0.639

Calculated values
DFT formation energy ... -0.430 eV per atom

# 2
Pm3Tc2Ge6 | PBE-GGA | relaxed

abc: 4.554 4.554 12.991
angles: 100.10 100.10 90.00
Positions (direct):
Pm 0.000 0.000 0.000
Pm 0.825 0.825 0.651
Pm 0.175 0.175 0.349
Tc 0.383 0.383 0.766
Tc 0.617 0.617 0.234
Ge 0.083 0.583 0.166
Ge 0.583 0.083 0.166
Ge 0.917 0.417 0.834
Ge 0.417 0.917 0.834
Ge 0.710 0.710 0.421
Ge 0.290 0.290 0.579

Calculated values
DFT formation energy ... -0.355 eV per atom

# 3
Pm2TcGe5 | PBE-GGA | relaxed

abc: 6.273 6.273 6.273
angles: 87.78 121.29 121.29
Positions (direct):
Pm 0.500 0.235 0.735
Pm 0.500 0.735 0.235
Tc 0.000 0.010 0.010
Ge 0.427 0.705 0.705
Ge 0.000 0.705 0.278
Ge 0.000 0.278 0.705
Ge 0.573 0.278 0.278
Ge 0.000 0.277 0.277

Calculated values
DFT formation energy ... -0.387 eV per atom

# 4
PmTcGe2 | PBE-GGA | relaxed

abc: 4.853 4.853 7.038
angles: 69.83 69.83 60.00
Each line ends with the local moment (μB).
Positions (direct):
Ge 0.124 0.124 0.629  -0.06
Ge 0.876 0.876 0.371  -0.06
Tc 0.000 0.000 0.000  2.56
Pm 0.500 0.500 0.500  -0.05

Calculated values
DFT formation energy ... 0.968 eV per atom
Excess energy over the best structure of this formula in the dataset ... 1.499 eV per atom

# 5
PmThTcGe | PBE-GGA | relaxed

abc: 4.203 3.915 6.240
angles: 90.00 109.68 90.00
Positions (direct):
Pm 0.856 0.500 0.712
Th 0.129 0.000 0.258
Tc 0.583 0.500 0.166
Ge 0.432 0.000 0.864

Calculated values
DFT formation energy ... -0.509 eV per atom
Excess energy over the best structure of this formula in the dataset ... 0.000 eV per atom

# 6
PmThTcGe | PBE-GGA | relaxed

abc: 5.114 5.114 5.114
angles: 60.00 60.00 60.00
Positions (direct):
Ge 0.000 0.000 0.000
Tc 0.500 0.500 0.500
Th 0.250 0.250 0.250
Pm 0.750 0.750 0.750

Calculated values
DFT formation energy ... -0.177 eV per atom
Excess energy over the best structure of this formula in the dataset ... 0.332 eV per atom

# 7
PmTiTcGe2 | PBE-GGA | relaxed

abc: 4.021 4.021 6.488
angles: 108.05 108.05 90.00
Positions (direct):
Pm 0.000 0.000 0.000
Ti 0.250 0.750 0.500
Tc 0.750 0.250 0.500
Ge 0.610 0.610 0.221
Ge 0.390 0.390 0.779

Calculated values
DFT formation energy ... -0.659 eV per atom

# 8
Pm2Zn2TcGe4 | PBE-GGA | relaxed

abc: 6.281 6.281 6.281
angles: 89.56 120.25 120.25
Each line ends with the local moment (μB).
Positions (direct):
Pm 0.500 0.750 0.250  0.01
Pm 0.500 0.250 0.750  0.01
Zn 0.000 0.711 0.711  0.00
Zn 0.000 0.289 0.289  0.00
Tc 0.000 0.000 0.000  0.37
Ge 0.000 0.716 0.284  0.00
Ge 0.432 0.716 0.716  0.00
Ge 0.000 0.284 0.716  0.00
Ge 0.568 0.284 0.284  0.00

Calculated values
DFT formation energy ... -0.428 eV per atom

# 9
PmZnTcGe2 | PBE-GGA | relaxed

abc: 4.061 4.061 6.350
angles: 108.65 108.65 90.00
Positions (direct):
Pm 0.000 0.000 0.000
Zn 0.250 0.750 0.500
Tc 0.750 0.250 0.500
Ge 0.616 0.616 0.232
Ge 0.384 0.384 0.768

Calculated values
DFT formation energy ... -0.363 eV per atom

# 10
Pm6Ge3Te | PBE-GGA | relaxed

abc: 7.580 9.167 9.167
angles: 104.50 90.00 90.00
Each line ends with the local moment (μB).
Positions (direct):
Pm 0.150 0.714 0.638  0.05
Pm 0.650 0.638 0.714  0.05
Pm 0.242 0.465 0.907  0.05
Pm 0.742 0.907 0.465  0.05
Pm 0.265 0.007 0.993  0.01
Pm 0.617 0.247 0.753  0.06
Pm 0.117 0.753 0.247  0.06
Pm 0.765 0.993 0.007  0.01
Pm 0.242 0.093 0.535  0.05
Pm 0.742 0.535 0.093  0.05
Pm 0.150 0.362 0.286  0.05
Pm 0.650 0.286 0.362  0.05
Ge 0.478 0.928 0.713  0.00
Ge 0.978 0.713 0.928  0.00
Ge 0.363 0.415 0.585  0.00
Ge 0.863 0.585 0.415  0.00
Ge 0.978 0.072 0.287  0.00
Ge 0.478 0.287 0.072  0.00
Te 0.998 0.173 0.827  0.00
Te 0.498 0.827 0.173  0.00

Calculated values
E_form (uncorrected) ... -0.7114 eV/atom

# 11
Pm3GeTe2 | PBE-GGA | relaxed

abc: 7.620 7.620 7.698
angles: 99.47 99.47 120.01
Positions (direct):
Pm 0.609 0.943 0.774
Pm 0.057 0.391 0.226
Pm 0.906 0.590 0.770
Pm 0.257 0.239 0.770
Pm 0.410 0.094 0.230
Pm 0.761 0.743 0.230
Ge 0.001 0.999 0.000
Ge 0.666 0.334 0.000
Te 0.833 0.167 0.500
Te 0.333 0.667 0.000
Te 0.173 0.827 0.500
Te 0.494 0.506 0.500

Calculated values
E_form (uncorrected) ... -1.3340 eV/atom
Excess energy over the best structure of this formula in the dataset ... 0.000 eV per atom

# 12
Pm4GeTe5 | PBE-GGA | relaxed

abc: 4.433 4.433 18.360
angles: 83.07 83.07 60.00
Positions (direct):
Pm 0.901 0.901 0.298
Pm 0.298 0.298 0.105
Pm 0.702 0.702 0.895
Pm 0.099 0.099 0.702
Ge 0.500 0.500 0.500
Te 0.401 0.401 0.798
Te 0.000 0.000 0.000
Te 0.599 0.599 0.202
Te 0.803 0.803 0.591
Te 0.197 0.197 0.409

Calculated values
E_form (uncorrected) ... -1.1090 eV/atom

- Number 1 is which compound?
  Pm2TcGe6

- Number 8 is which compound?
  Pm2Zn2TcGe4